Entry 1:
## PaZn4Pt (GGA-PBE)

Data for a relaxed structure of PaZn4Pt.

excess energy over the best structure of this formula in the dataset: 0 meV/atom
calculated formation energy: -316.4 meV/atom
final energy: -45.06 eV/cell

a = 7.215 Å, b = 4.226 Å, c = 7.058 Å
α = 90.00°, β = 90.00°, γ = 90.00°
Sites, in units of the cell vectors:
Pa  0.250  0.000  0.125
Pa  0.750  0.000  0.875
Zn  0.000  0.000  0.500
Zn  0.047  0.500  0.811
Zn  0.250  0.500  0.451
Zn  0.453  0.500  0.811
Zn  0.500  0.000  0.500
Zn  0.547  0.500  0.189
Zn  0.750  0.500  0.549
Zn  0.953  0.500  0.189
Pt  0.250  0.000  0.743
Pt  0.750  0.000  0.257

---

Entry 2:
## PaZn2Pt3 (GGA-PBE)

Data for a relaxed structure of PaZn2Pt3.

calculated formation energy: -578.8 meV/atom
final energy: -67.28 eV/cell

a = 4.546 Å, b = 13.319 Å, c = 3.963 Å
α = 90.00°, β = 90.00°, γ = 90.00°
Sites, in units of the cell vectors:
Pa  0.250  0.250  0.247
Pa  0.750  0.750  0.753
Zn  0.250  0.530  0.247
Zn  0.250  0.970  0.247
Zn  0.750  0.030  0.753
Zn  0.750  0.470  0.753
Pt  0.250  0.107  0.747
Pt  0.250  0.393  0.747
Pt  0.250  0.750  0.254
Pt  0.750  0.250  0.746
Pt  0.750  0.607  0.253
Pt  0.750  0.893  0.253

---

Entry 3:
## PaZn7Pt4 (GGA-PBE)

Data for a relaxed structure of PaZn7Pt4.

calculated formation energy: -143.2 meV/atom
final energy: -44.30 eV/cell

a = 5.895 Å, b = 5.895 Å, c = 9.263 Å
α = 119.96°, β = 119.96°, γ = 50.29°
Sites, in units of the cell vectors:
Pa  0.000  0.000  0.000
Zn  0.089  0.089  0.424
Zn  0.316  0.316  0.370
Zn  0.342  0.342  0.125
Zn  0.500  0.500  0.000
Zn  0.658  0.658  0.875
Zn  0.684  0.684  0.630
Zn  0.911  0.911  0.576
Pt  0.189  0.189  0.797
Pt  0.370  0.370  0.670
Pt  0.630  0.630  0.330
Pt  0.811  0.811  0.203

---

Entry 4:
## PaZnPt2 (GGA-PBE)

Data for a relaxed structure of PaZnPt2.

calculated formation energy: -603.9 meV/atom
final energy: -25.27 eV/cell

a = 5.002 Å, b = 5.002 Å, c = 3.416 Å
α = 90.00°, β = 90.00°, γ = 111.48°
Sites, in units of the cell vectors:
Pa  0.000  0.000  0.000
Zn  0.500  0.500  0.500
Pt  0.000  0.500  0.500
Pt  0.500  0.000  0.500

---

Entry 5:
## PaZn11Pt (GGA-PBE)

Data for a relaxed structure of PaZn11Pt.

calculated formation energy: -179.1 meV/atom
final energy: -31.88 eV/cell

a = 6.864 Å, b = 6.864 Å, c = 6.762 Å
α = 98.13°, β = 98.13°, γ = 135.51°
Sites, in units of the cell vectors:
Pa  0.000  0.000  0.000
Zn  0.000  0.500  0.000
Zn  0.011  0.658  0.646
Zn  0.290  0.507  0.786
Zn  0.342  0.989  0.354
Zn  0.493  0.710  0.214
Zn  0.500  0.000  0.000
Zn  0.500  0.500  0.500
Zn  0.507  0.290  0.786
Zn  0.658  0.011  0.646
Zn  0.710  0.493  0.214
Zn  0.989  0.342  0.354
Pt  0.000  0.000  0.500

---

Entry 6:
## Pa3Zn2Pt4 (GGA-PBE)

Data for a relaxed structure of Pa3Zn2Pt4.

excess energy over the best structure of this formula in the dataset: 327 meV/atom
calculated formation energy: -521.7 meV/atom
final energy: -59.89 eV/cell

a = 7.481 Å, b = 7.481 Å, c = 7.481 Å
α = 152.61°, β = 100.07°, γ = 86.40°
Sites, in units of the cell vectors:
Pa  0.000  0.000  0.000
Pa  0.348  0.500  0.848
Pa  0.652  0.500  0.152
Zn  0.283  0.783  0.500
Zn  0.717  0.217  0.500
Pt  0.026  0.829  0.196
Pt  0.367  0.171  0.196
Pt  0.633  0.829  0.804
Pt  0.974  0.171  0.804